(1)
Compound: SbAsCl4
Source: the Alexandria database
Functional: PBE
Structure: optimized geometry

```
data_SbAsCl4
_cell_length_a 8.178
_cell_length_b 8.178
_cell_length_c 8.178
_cell_angle_alpha 90.00
_cell_angle_beta 90.00
_cell_angle_gamma 90.00
_space_group_name_H-M_alt 'F -4 3 m'
_space_group_IT_number 216
_space_group_name_Hall 'F -4 2 3'
loop_
_atom_site_label
_atom_site_fract_x
_atom_site_fract_y
_atom_site_fract_z
Sb1 0.000 0.000 0.000
As1 0.250 0.250 0.750
Cl1 0.125 0.125 0.375
```

Values from the calculation:
Crystal system = cubic
Fermi-level density of states = 29.888 states/eV/cell
Size of the total moment = 0.16 μB/atom
Energy relative to the elements, uncorrected = 724 meV/atom
Electronic total energy = -11.8 eV/f.u.



(2)
Compound: Sb2AsCl
Source: the Alexandria database
Functional: PBE
Structure: optimized geometry

```
data_Sb2AsCl
_cell_length_a 3.7834
_cell_length_b 3.7834
_cell_length_c 25.1017
_cell_angle_alpha 90.00
_cell_angle_beta 90.00
_cell_angle_gamma 120.00
_space_group_name_H-M_alt 'R -3 m'
_space_group_IT_number 166
_space_group_name_Hall '-R 3 2"'
loop_
_atom_site_label
_atom_site_fract_x
_atom_site_fract_y
_atom_site_fract_z
Sb1 0.0000 0.0000 0.2408
As1 0.0000 0.0000 0.5000
Cl1 0.0000 0.0000 0.0000
```

Values from the calculation:
Crystal system = trigonal
Fermi-level density of states = 4.988 states/eV/cell
Size of the total moment = 0.00 μB/atom
Energy relative to the elements, uncorrected = -18 meV/atom
Electronic total energy = -14.8 eV/f.u.



(3)
Compound: Sb2AsCl
Source: the Alexandria database
Functional: PBE
Structure: optimized geometry

```
data_Sb2AsCl
_cell_length_a 3.795
_cell_length_b 4.421
_cell_length_c 5.820
_cell_angle_alpha 90.00
_cell_angle_beta 90.00
_cell_angle_gamma 90.00
_space_group_name_H-M_alt 'P m m m'
_space_group_IT_number 47
loop_
_space_group_symop_operation_xyz
'x,y,z'
'-x,-y,-z'
'-x,-y,z'
'x,y,-z'
'x,-y,-z'
'-x,y,z'
'-x,y,-z'
'x,-y,z'
loop_
_atom_site_label
_atom_site_fract_x
_atom_site_fract_y
_atom_site_fract_z
Sb1 0.000 0.000 0.000
Sb2 0.500 0.000 0.500
As1 0.000 0.500 0.500
Cl1 0.500 0.500 0.000
```

Values from the calculation:
Crystal system = orthorhombic
Fermi-level density of states = 2.350 states/eV/cell
Size of the total moment = 0.00 μB/atom
Energy relative to the elements, uncorrected = 223 meV/atom
Electronic total energy = -13.9 eV/f.u.



(4)
Compound: SbAs2Cl
Source: the Alexandria database
Functional: PBE
Structure: optimized geometry

```
data_SbAs2Cl
_cell_length_a 11.546
_cell_length_b 3.620
_cell_length_c 7.172
_cell_angle_alpha 90.00
_cell_angle_beta 103.17
_cell_angle_gamma 90.00
_space_group_name_H-M_alt 'C 1 m 1'
_space_group_IT_number 8
loop_
_space_group_symop_operation_xyz
'x,y,z'
'x,-y,z'
'x+1/2,y+1/2,z'
'x+1/2,-y+1/2,z'
loop_
_atom_site_label
_atom_site_fract_x
_atom_site_fract_y
_atom_site_fract_z
Sb1 0.000 0.000 0.000
As1 0.075 0.000 0.686
As2 0.418 0.000 0.655
Cl1 0.150 0.500 0.213
```

Values from the calculation:
Crystal system = monoclinic
Size of the total moment = 0.00 μB/atom
Energy relative to the elements, uncorrected = -124 meV/atom
Electronic total energy = -15.8 eV/f.u.



(5)
Compound: Sb2AsCl
Source: the Alexandria database
Functional: PBE
Structure: optimized geometry

```
data_Sb2AsCl
_cell_length_a 3.583
_cell_length_b 5.642
_cell_length_c 10.090
_cell_angle_alpha 90.00
_cell_angle_beta 90.00
_cell_angle_gamma 90.00
_space_group_name_H-M_alt 'C m m 2'
_space_group_IT_number 35
loop_
_space_group_symop_operation_xyz
'x,y,z'
'-x,-y,z'
'-x,y,z'
'x,-y,z'
'x+1/2,y+1/2,z'
'-x+1/2,-y+1/2,z'
'-x+1/2,y+1/2,z'
'x+1/2,-y+1/2,z'
loop_
_atom_site_label
_atom_site_fract_x
_atom_site_fract_y
_atom_site_fract_z
Sb1 0.000 0.000 0.000
Sb2 0.000 0.500 0.296
As1 0.000 0.000 0.501
Cl1 0.000 0.500 0.789
```

Values from the calculation:
Crystal system = orthorhombic
Fermi-level density of states = 2.986 states/eV/cell
Size of the total moment = 0.00 μB/atom
Energy relative to the elements, uncorrected = 141 meV/atom
Electronic total energy = -14.2 eV/f.u.



(6)
Compound: SbAs3Cl
Source: the Alexandria database
Functional: PBE
Structure: optimized geometry

```
data_SbAs3Cl
_cell_length_a 4.931
_cell_length_b 4.931
_cell_length_c 4.931
_cell_angle_alpha 90.00
_cell_angle_beta 90.00
_cell_angle_gamma 90.00
_space_group_name_H-M_alt 'P m -3 m'
_space_group_IT_number 221
_space_group_name_Hall '-P 4 2 3'
loop_
_atom_site_label
_atom_site_fract_x
_atom_site_fract_y
_atom_site_fract_z
Sb1 0.000 0.000 0.000
As1 0.000 0.500 0.500
Cl1 0.500 0.500 0.500
```

Values from the calculation:
Crystal system = cubic
Fermi-level density of states = 4.148 states/eV/cell
Size of the total moment = 0.00 μB/atom
Energy relative to the elements, uncorrected = 948 meV/atom
Electronic total energy = -15.2 eV/f.u.



(7)
Compound: Sb2AsCl
Source: the Alexandria database
Functional: PBE
Structure: optimized geometry

```
data_Sb2AsCl
_cell_length_a 3.754
_cell_length_b 6.452
_cell_length_c 8.721
_cell_angle_alpha 90.00
_cell_angle_beta 90.00
_cell_angle_gamma 90.00
_space_group_name_H-M_alt 'I m m m'
_space_group_IT_number 71
_space_group_name_Hall '-I 2 2'
loop_
_atom_site_label
_atom_site_fract_x
_atom_site_fract_y
_atom_site_fract_z
Sb1 0.000 0.000 0.233
As1 0.000 0.500 0.500
Cl1 0.000 0.500 0.000
```

Values from the calculation:
Crystal system = orthorhombic
Fermi-level density of states = 4.322 states/eV/cell
Size of the total moment = 0.00 μB/atom
Energy relative to the elements, uncorrected = 147 meV/atom
Electronic total energy = -14.2 eV/f.u.



(8)
Compound: SbAs2Cl
Source: the Alexandria database
Functional: PBE
Structure: optimized geometry

```
data_SbAs2Cl
_cell_length_a 6.979
_cell_length_b 6.979
_cell_length_c 6.979
_cell_angle_alpha 90.00
_cell_angle_beta 90.00
_cell_angle_gamma 90.00
_space_group_name_H-M_alt 'F m -3 m'
_space_group_IT_number 225
_space_group_name_Hall '-F 4 2 3'
loop_
_atom_site_label
_atom_site_fract_x
_atom_site_fract_y
_atom_site_fract_z
Sb1 0.000 0.000 0.000
As1 0.250 0.250 0.250
Cl1 0.000 0.000 0.500
```

Values from the calculation:
Crystal system = cubic
Fermi-level density of states = 9.197 states/eV/cell
Size of the total moment = 0.00 μB/atom
Energy relative to the elements, uncorrected = 293 meV/atom
Electronic total energy = -14.1 eV/f.u.



(9)
Compound: SbAs2Cl
Source: the Alexandria database
Functional: PBE
Structure: optimized geometry

```
data_SbAs2Cl
_cell_length_a 11.940
_cell_length_b 3.446
_cell_length_c 4.939
_cell_angle_alpha 90.00
_cell_angle_beta 101.50
_cell_angle_gamma 90.00
_space_group_name_H-M_alt 'C 1 2/m 1'
_space_group_IT_number 12
loop_
_space_group_symop_operation_xyz
'x,y,z'
'-x,-y,-z'
'-x,y,-z'
'x,-y,z'
'x+1/2,y+1/2,z'
'-x+1/2,-y+1/2,-z'
'-x+1/2,y+1/2,-z'
'x+1/2,-y+1/2,z'
loop_
_atom_site_label
_atom_site_fract_x
_atom_site_fract_y
_atom_site_fract_z
Sb1 0.000 0.000 0.000
As1 0.221 0.500 0.150
Cl1 0.000 0.500 0.500
```

Values from the calculation:
Crystal system = monoclinic
Fermi-level density of states = 3.021 states/eV/cell
Size of the total moment = 0.00 μB/atom
Energy relative to the elements, uncorrected = 46 meV/atom
Electronic total energy = -15.1 eV/f.u.



(10)
Compound: Sb2AsCl
Source: the Alexandria database
Functional: PBE
Structure: optimized geometry

```
data_Sb2AsCl
_cell_length_a 3.628
_cell_length_b 3.628
_cell_length_c 7.505
_cell_angle_alpha 90.00
_cell_angle_beta 90.00
_cell_angle_gamma 90.00
_space_group_name_H-M_alt 'P 4/m m m'
_space_group_IT_number 123
_space_group_name_Hall '-P 4 2'
loop_
_atom_site_label
_atom_site_fract_x
_atom_site_fract_y
_atom_site_fract_z
Sb1 0.000 0.000 0.208
As1 0.500 0.500 0.000
Cl1 0.500 0.500 0.500
```

Values from the calculation:
Crystal system = tetragonal
Fermi-level density of states = 2.184 states/eV/cell
Size of the total moment = 0.00 μB/atom
Energy relative to the elements, uncorrected = -26 meV/atom
Electronic total energy = -14.8 eV/f.u.



Q: Look up the electronic total energy of the eighth one.
A: -14.1 eV/f.u.



Q: The lowest energy relative to the elements, uncorrected belongs to which entry?
A: number 4



Q: What is the size of the total moment in the third record?
A: 0.00 μB/atom